Density functional theory data (PBE+U) for an optimized crystal structure of AcCr2GaO6.

Calculated values
Raw total energy   -7.397 eV per atom
Space group   R3, No. 146
Total magnetization   6.00 μB per formula unit
V   11.83 A^3/atom

a = 5.398 Å, b = 5.398 Å, c = 5.629 Å
α = 61.35°, β = 61.35°, γ = 60.00°
Element x y z (fractional)
Ac  0.773  0.773  0.681
Cr  0.520  0.520  0.441
Cr  0.011  0.011  0.967
Ga  0.315  0.315  0.056
O  0.620  0.264  0.213
O  0.264  0.903  0.213
O  0.903  0.620  0.213
O  0.321  0.730  0.744
O  0.730  0.205  0.744
O  0.205  0.321  0.744